Entry 1:
This record from Alexandria via LeMat-Bulk describes crystalline LiY3H at its relaxed geometry. The functional is PBE.

```
data_LiY3H
_chemical_formula_sum 'Li1 Y3 H1'
_symmetry_space_group_name_H-M 'P 1'
_symmetry_Int_Tables_number 1
_symmetry_space_group_name_Hall 'P 1'
_cell_length_a 4.914
_cell_length_b 4.914
_cell_length_c 4.914
_cell_angle_alpha 90.00
_cell_angle_beta 90.00
_cell_angle_gamma 90.00
loop_
_atom_site_label
_atom_site_fract_x
_atom_site_fract_y
_atom_site_fract_z
Y1 0.000 0.500 0.000
Y2 0.000 0.000 0.500
Y3 0.500 0.000 0.000
H1 0.000 0.000 0.000
Li1 0.500 0.500 0.500
```

***

Entry 2:
This record from Alexandria via LeMat-Bulk describes crystalline Li3Y5H12 at its relaxed geometry. The functional is PBE.

```
data_Li3Y5H12
_chemical_formula_sum 'Li12 Y20 H48'
_symmetry_space_group_name_H-M 'P 1'
_symmetry_Int_Tables_number 1
_symmetry_space_group_name_Hall 'P 1'
_cell_length_a 10.821
_cell_length_b 10.821
_cell_length_c 10.821
_cell_angle_alpha 109.47
_cell_angle_beta 109.47
_cell_angle_gamma 109.47
loop_
_atom_site_label
_atom_site_fract_x
_atom_site_fract_y
_atom_site_fract_z
Li1 0.750 0.375 0.125
Li2 0.875 0.750 0.125
Li3 0.375 0.750 0.625
Li4 0.250 0.125 0.375
Li5 0.875 0.125 0.250
Li6 0.375 0.625 0.250
Li7 0.625 0.375 0.750
Li8 0.125 0.875 0.750
Li9 0.750 0.875 0.625
Li10 0.625 0.250 0.375
Li11 0.125 0.250 0.875
Li12 0.250 0.625 0.875
Y1 0.125 0.375 0.250
Y2 0.000 0.500 0.000
Y3 0.000 0.000 0.000
Y4 0.375 0.250 0.125
Y5 0.500 0.000 0.500
Y6 0.500 0.500 0.000
Y7 0.125 0.750 0.375
Y8 0.750 0.125 0.875
Y9 0.750 0.625 0.375
Y10 0.375 0.125 0.750
Y11 0.625 0.875 0.250
Y12 0.500 0.500 0.500
Y13 0.500 0.000 0.000
Y14 0.000 0.000 0.500
Y15 0.250 0.375 0.625
Y16 0.250 0.875 0.125
Y17 0.000 0.500 0.500
Y18 0.875 0.250 0.625
Y19 0.625 0.750 0.875
Y20 0.875 0.625 0.750
H1 0.595 0.173 0.945
H2 0.350 0.445 0.272
H3 0.055 0.327 0.405
H4 0.445 0.095 0.173
H5 0.422 0.595 0.650
H6 0.055 0.728 0.150
H7 0.350 0.905 0.578
H8 0.228 0.078 0.173
H9 0.728 0.055 0.650
H10 0.595 0.422 0.150
H11 0.905 0.555 0.327
H12 0.850 0.772 0.945
H13 0.173 0.595 0.445
H14 0.327 0.272 0.922
H15 0.922 0.772 0.327
H16 0.578 0.173 0.728
H17 0.922 0.150 0.095
H18 0.555 0.650 0.228
H19 0.850 0.078 0.405
H20 0.173 0.578 0.228
H21 0.327 0.055 0.905
H22 0.728 0.673 0.578
H23 0.772 0.850 0.445
H24 0.905 0.350 0.078
H25 0.272 0.327 0.422
H26 0.228 0.150 0.555
H27 0.095 0.650 0.922
H28 0.150 0.922 0.595
H29 0.673 0.945 0.095
H30 0.827 0.422 0.772
H31 0.445 0.350 0.772
H32 0.422 0.827 0.272
H33 0.078 0.850 0.905
H34 0.078 0.228 0.673
H35 0.827 0.405 0.555
H36 0.150 0.228 0.055
H37 0.673 0.728 0.078
H38 0.272 0.945 0.350
H39 0.405 0.578 0.850
H40 0.095 0.445 0.673
H41 0.772 0.922 0.827
H42 0.650 0.095 0.422
H43 0.555 0.905 0.827
H44 0.945 0.272 0.850
H45 0.578 0.405 0.350
H46 0.945 0.673 0.595
H47 0.650 0.555 0.728
H48 0.405 0.827 0.055
```

***

Entry 3:
This record from Alexandria via LeMat-Bulk describes crystalline LiYH2 at its relaxed geometry. The functional is PBE.

```
data_LiYH2
_chemical_formula_sum 'Li1 Y1 H2'
_symmetry_space_group_name_H-M 'P 1'
_symmetry_Int_Tables_number 1
_symmetry_space_group_name_Hall 'P 1'
_cell_length_a 3.282
_cell_length_b 3.282
_cell_length_c 5.686
_cell_angle_alpha 73.23
_cell_angle_beta 73.23
_cell_angle_gamma 60.00
loop_
_atom_site_label
_atom_site_fract_x
_atom_site_fract_y
_atom_site_fract_z
Y1 0.000 0.000 0.000
H1 0.756 0.756 0.733
H2 0.244 0.244 0.267
Li1 0.500 0.500 0.500
```

***

Entry 4:
This record from Alexandria via LeMat-Bulk describes crystalline LiY2ZnH at its relaxed geometry. The functional is PBE.

```
data_LiY2ZnH
_chemical_formula_sum 'Li1 Y2 Zn1 H1'
_symmetry_space_group_name_H-M 'P 1'
_symmetry_Int_Tables_number 1
_symmetry_space_group_name_Hall 'P 1'
_cell_length_a 4.976
_cell_length_b 4.976
_cell_length_c 3.840
_cell_angle_alpha 90.00
_cell_angle_beta 90.00
_cell_angle_gamma 90.00
loop_
_atom_site_label
_atom_site_fract_x
_atom_site_fract_y
_atom_site_fract_z
Y1 0.000 0.500 0.000
Y2 0.500 0.000 0.000
H1 0.000 0.000 0.000
Zn1 0.000 0.000 0.500
Li1 0.500 0.500 0.500
```

***

Entry 5:
This record from Alexandria via LeMat-Bulk describes crystalline LiY2ZnH at its relaxed geometry. The functional is PBE.

```
data_LiY2ZnH
_chemical_formula_sum 'Li1 Y2 Zn1 H1'
_symmetry_space_group_name_H-M 'P 1'
_symmetry_Int_Tables_number 1
_symmetry_space_group_name_Hall 'P 1'
_cell_length_a 4.971
_cell_length_b 4.971
_cell_length_c 3.742
_cell_angle_alpha 90.00
_cell_angle_beta 90.00
_cell_angle_gamma 90.00
loop_
_atom_site_label
_atom_site_fract_x
_atom_site_fract_y
_atom_site_fract_z
Y1 0.000 0.500 0.000
Y2 0.500 0.000 0.000
H1 0.000 0.000 0.000
Zn1 0.500 0.500 0.500
Li1 0.000 0.000 0.500
```

***

Entry 6:
This record from Alexandria via LeMat-Bulk describes crystalline Li2YZnH at its relaxed geometry. The functional is PBE.

```
data_Li2YZnH
_chemical_formula_sum 'Li2 Y1 Zn1 H1'
_symmetry_space_group_name_H-M 'P 1'
_symmetry_Int_Tables_number 1
_symmetry_space_group_name_Hall 'P 1'
_cell_length_a 4.159
_cell_length_b 4.159
_cell_length_c 4.827
_cell_angle_alpha 90.00
_cell_angle_beta 90.00
_cell_angle_gamma 90.00
loop_
_atom_site_label
_atom_site_fract_x
_atom_site_fract_y
_atom_site_fract_z
Y1 0.000 0.000 0.500
H1 0.000 0.000 0.000
Zn1 0.500 0.500 0.500
Li1 0.000 0.500 0.000
Li2 0.500 0.000 0.000
```

***

Entry 7:
This record from Alexandria via LeMat-Bulk describes crystalline LiY2ZrH at its relaxed geometry. The functional is PBE.

```
data_LiY2ZrH
_chemical_formula_sum 'Li1 Y2 Zr1 H1'
_symmetry_space_group_name_H-M 'P 1'
_symmetry_Int_Tables_number 1
_symmetry_space_group_name_Hall 'P 1'
_cell_length_a 5.018
_cell_length_b 5.018
_cell_length_c 4.249
_cell_angle_alpha 90.00
_cell_angle_beta 90.00
_cell_angle_gamma 90.00
loop_
_atom_site_label
_atom_site_fract_x
_atom_site_fract_y
_atom_site_fract_z
Y1 0.000 0.500 0.000
Y2 0.500 0.000 0.000
H1 0.000 0.000 0.000
Zr1 0.000 0.000 0.500
Li1 0.500 0.500 0.500
```

***

Entry 8:
This record from Alexandria via LeMat-Bulk describes crystalline Li2Zn2H5 at its relaxed geometry. The functional is PBE.

```
data_Li2Zn2H5
_chemical_formula_sum 'Li2 Zn2 H5'
_symmetry_space_group_name_H-M 'P 1'
_symmetry_Int_Tables_number 1
_symmetry_space_group_name_Hall 'P 1'
_cell_length_a 3.120
_cell_length_b 4.926
_cell_length_c 7.236
_cell_angle_alpha 113.99
_cell_angle_beta 102.45
_cell_angle_gamma 90.00
loop_
_atom_site_label
_atom_site_fract_x
_atom_site_fract_y
_atom_site_fract_z
Li1 0.662 0.569 0.325
Li2 0.338 0.431 0.675
Zn1 0.876 0.965 0.752
Zn2 0.124 0.035 0.248
H1 0.680 0.210 0.359
H2 0.320 0.790 0.641
H3 0.882 0.306 0.764
H4 0.118 0.694 0.236
H5 0.000 0.000 0.000
```

***

Entry 9:
This record from Alexandria via LeMat-Bulk describes crystalline Li12Zn3H5 at its relaxed geometry. The functional is PBE.

```
data_Li12Zn3H5
_chemical_formula_sum 'Li48 Zn12 H20'
_symmetry_space_group_name_H-M 'P 1'
_symmetry_Int_Tables_number 1
_symmetry_space_group_name_Hall 'P 1'
_cell_length_a 11.257
_cell_length_b 11.257
_cell_length_c 11.257
_cell_angle_alpha 109.47
_cell_angle_beta 109.47
_cell_angle_gamma 109.47
loop_
_atom_site_label
_atom_site_fract_x
_atom_site_fract_y
_atom_site_fract_z
Zn1 0.750 0.375 0.125
Zn2 0.875 0.750 0.125
Zn3 0.375 0.750 0.625
Zn4 0.250 0.125 0.375
Zn5 0.875 0.125 0.250
Zn6 0.375 0.625 0.250
Zn7 0.625 0.375 0.750
Zn8 0.125 0.875 0.750
Zn9 0.750 0.875 0.625
Zn10 0.625 0.250 0.375
Zn11 0.125 0.250 0.875
Zn12 0.250 0.625 0.875
H1 0.125 0.375 0.250
H2 0.000 0.500 0.000
H3 0.000 0.000 0.000
H4 0.375 0.250 0.125
H5 0.500 0.000 0.500
H6 0.500 0.500 0.000
H7 0.125 0.750 0.375
H8 0.750 0.125 0.875
H9 0.750 0.625 0.375
H10 0.375 0.125 0.750
H11 0.625 0.875 0.250
H12 0.500 0.500 0.500
H13 0.500 0.000 0.000
H14 0.000 0.000 0.500
H15 0.250 0.375 0.625
H16 0.250 0.875 0.125
H17 0.000 0.500 0.500
H18 0.875 0.250 0.625
H19 0.625 0.750 0.875
H20 0.875 0.625 0.750
Li1 0.694 0.106 0.004
Li2 0.311 0.504 0.399
Li3 0.996 0.394 0.306
Li4 0.504 0.194 0.106
Li5 0.588 0.694 0.689
Li6 0.996 0.601 0.189
Li7 0.311 0.806 0.412
Li8 0.101 0.912 0.106
Li9 0.601 0.996 0.689
Li10 0.694 0.588 0.189
Li11 0.806 0.496 0.394
Li12 0.811 0.899 0.004
Li13 0.106 0.694 0.504
Li14 0.394 0.399 0.088
Li15 0.088 0.899 0.394
Li16 0.412 0.106 0.601
Li17 0.088 0.189 0.194
Li18 0.496 0.689 0.101
Li19 0.811 0.912 0.306
Li20 0.106 0.412 0.101
Li21 0.394 0.996 0.806
Li22 0.601 0.606 0.412
Li23 0.899 0.811 0.504
Li24 0.806 0.311 0.912
Li25 0.399 0.394 0.588
Li26 0.101 0.189 0.496
Li27 0.194 0.689 0.088
Li28 0.189 0.088 0.694
Li29 0.606 0.004 0.194
Li30 0.894 0.588 0.899
Li31 0.504 0.311 0.899
Li32 0.588 0.894 0.399
Li33 0.912 0.811 0.806
Li34 0.912 0.101 0.606
Li35 0.894 0.306 0.496
Li36 0.189 0.101 0.996
Li37 0.606 0.601 0.912
Li38 0.399 0.004 0.311
Li39 0.306 0.412 0.811
Li40 0.194 0.504 0.606
Li41 0.899 0.088 0.894
Li42 0.689 0.194 0.588
Li43 0.496 0.806 0.894
Li44 0.004 0.399 0.811
Li45 0.412 0.306 0.311
Li46 0.004 0.606 0.694
Li47 0.689 0.496 0.601
Li48 0.306 0.894 0.996
```

***

Entry 10:
This record from Alexandria via LeMat-Bulk describes crystalline LiZnH2 at its relaxed geometry. The functional is PBE.

```
data_LiZnH2
_chemical_formula_sum 'Li1 Zn1 H2'
_symmetry_space_group_name_H-M 'P 1'
_symmetry_Int_Tables_number 1
_symmetry_space_group_name_Hall 'P 1'
_cell_length_a 2.896
_cell_length_b 2.896
_cell_length_c 5.453
_cell_angle_alpha 74.60
_cell_angle_beta 74.60
_cell_angle_gamma 60.00
loop_
_atom_site_label
_atom_site_fract_x
_atom_site_fract_y
_atom_site_fract_z
H1 0.108 0.108 0.677
H2 0.892 0.892 0.323
Zn1 0.000 0.000 0.000
Li1 0.500 0.500 0.500
```

***

Entry 11:
This record from Alexandria via LeMat-Bulk describes crystalline LiZn2H at its relaxed geometry. The functional is PBE.

```
data_LiZn2H
_chemical_formula_sum 'Li2 Zn4 H2'
_symmetry_space_group_name_H-M 'P 1'
_symmetry_Int_Tables_number 1
_symmetry_space_group_name_Hall 'P 1'
_cell_length_a 6.691
_cell_length_b 6.691
_cell_length_c 5.255
_cell_angle_alpha 50.46
_cell_angle_beta 50.46
_cell_angle_gamma 90.00
loop_
_atom_site_label
_atom_site_fract_x
_atom_site_fract_y
_atom_site_fract_z
H1 0.500 0.500 0.000
H2 0.250 0.750 0.500
Zn1 0.544 0.125 0.250
Zn2 0.206 0.625 0.250
Zn3 0.375 0.456 0.750
Zn4 0.875 0.794 0.750
Li1 0.000 0.000 0.000
Li2 0.750 0.250 0.500
```

***

Entry 12:
This record from Alexandria via LeMat-Bulk describes crystalline LiZn2H5 at its relaxed geometry. The functional is PBE.

```
data_LiZn2H5
_chemical_formula_sum 'Li2 Zn4 H10'
_symmetry_space_group_name_H-M 'P 1'
_symmetry_Int_Tables_number 1
_symmetry_space_group_name_Hall 'P 1'
_cell_length_a 2.857
_cell_length_b 4.988
_cell_length_c 13.014
_cell_angle_alpha 90.00
_cell_angle_beta 90.00
_cell_angle_gamma 106.64
loop_
_atom_site_label
_atom_site_fract_x
_atom_site_fract_y
_atom_site_fract_z
Li1 0.966 0.933 0.750
Li2 0.034 0.067 0.250
Zn1 0.237 0.474 0.630
Zn2 0.763 0.526 0.370
Zn3 0.763 0.526 0.130
Zn4 0.237 0.474 0.870
H1 0.668 0.336 0.250
H2 0.332 0.664 0.750
H3 0.185 0.369 0.084
H4 0.815 0.631 0.916
H5 0.815 0.631 0.584
H6 0.185 0.369 0.416
H7 0.072 0.144 0.636
H8 0.928 0.856 0.364
H9 0.072 0.144 0.864
H10 0.928 0.856 0.136
```

***

Number 1: VASP energy -4.945 eV/atom. Number 2: VASP energy -4.365 eV/atom. Number 3: VASP energy -4.057 eV/atom. Number 4: VASP energy -4.078 eV/atom. Number 5: VASP energy -4.195 eV/atom. Number 6: VASP energy -3.186 eV/atom. Number 7: VASP energy -5.324 eV/atom. Number 8: VASP energy -2.585 eV/atom. Number 9: VASP energy -2.265 eV/atom. Number 10: VASP energy -2.485 eV/atom. Number 11: VASP energy -1.853 eV/atom. Number 12: VASP energy -2.640 eV/atom.